DFT (GGA-PBE) results for a geometry-optimized HoMg2Hg3 structure.

CIF file:
```
data_HoMg2Hg3
_symmetry_space_group_name_H-M 'P 4/m m m'
_symmetry_Int_Tables_number 123
_symmetry_space_group_name_Hall '-P 4 2'
_cell_length_a 3.5356
_cell_length_b 3.5356
_cell_length_c 10.8337
_cell_angle_alpha 90.00
_cell_angle_beta 90.00
_cell_angle_gamma 90.00
loop_
_atom_site_label
_atom_site_type_symbol
_atom_site_fract_x
_atom_site_fract_y
_atom_site_fract_z
Ho1 Ho 0.0000 0.0000 0.0000
Mg1 Mg 0.0000 0.0000 0.3432
Hg1 Hg 0.5000 0.5000 0.1809
Hg2 Hg 0.5000 0.5000 0.5000
```

Calculated values
* E_form: -324 meV per atom
* polymorph energy (0 for the lowest one): 41 meV/atom
* spin magnetization: 0.07 μB per cell
* crystal system: tetragonal
* D(E_F): 0.479 states/eV per atom

---

DFT (GGA-PBE) results for a geometry-optimized HoMgHg structure.

CIF file:
```
data_HoMgHg
_symmetry_space_group_name_H-M 'F -4 3 m'
_symmetry_Int_Tables_number 216
_symmetry_space_group_name_Hall 'F -4 2 3'
_cell_length_a 6.9106
_cell_length_b 6.9106
_cell_length_c 6.9106
_cell_angle_alpha 90.00
_cell_angle_beta 90.00
_cell_angle_gamma 90.00
loop_
_atom_site_label
_atom_site_type_symbol
_atom_site_fract_x
_atom_site_fract_y
_atom_site_fract_z
Ho1 Ho 0.0000 0.0000 0.0000
Mg1 Mg 0.0000 0.0000 0.5000
Hg1 Hg 0.2500 0.2500 0.2500
```

Calculated values
* E_form: -197 meV per atom
* spin magnetization: 2.99 μB per cell
* crystal system: cubic
* D(E_F): 1.476 states/eV per atom

---

DFT (GGA-PBE) results for a geometry-optimized HoMgHg structure.

CIF file:
```
data_HoMgHg
_symmetry_space_group_name_H-M 'P 63/m m c'
_symmetry_Int_Tables_number 194
_symmetry_space_group_name_Hall '-P 6c 2c'
_cell_length_a 5.1651
_cell_length_b 5.1651
_cell_length_c 6.2672
_cell_angle_alpha 90.00
_cell_angle_beta 90.00
_cell_angle_gamma 120.00
loop_
_atom_site_label
_atom_site_type_symbol
_atom_site_fract_x
_atom_site_fract_y
_atom_site_fract_z
Ho1 Ho 0.3333 0.6667 0.2500
Mg1 Mg 0.0000 0.0000 0.0000
Hg1 Hg 0.3333 0.6667 0.7500
```

Calculated values
* E_form: -384 meV per atom
* spin magnetization: 0.00 μB per cell
* crystal system: hexagonal
* D(E_F): 0.411 states/eV per atom

---

DFT (GGA-PBE) results for a geometry-optimized Ho5MgHg6 structure.

CIF file:
```
data_Ho5MgHg6
_symmetry_space_group_name_H-M 'C 1 2/m 1'
_symmetry_Int_Tables_number 12
_cell_length_a 8.9885
_cell_length_b 15.5940
_cell_length_c 5.1460
_cell_angle_alpha 90.00
_cell_angle_beta 124.85
_cell_angle_gamma 90.00
loop_
_symmetry_equiv_pos_as_xyz
'x,y,z'
'-x,-y,-z'
'-x,y,-z'
'x,-y,z'
'x+1/2,y+1/2,z'
'-x+1/2,-y+1/2,-z'
'-x+1/2,y+1/2,-z'
'x+1/2,-y+1/2,z'
loop_
_atom_site_label
_atom_site_type_symbol
_atom_site_fract_x
_atom_site_fract_y
_atom_site_fract_z
Ho1 Ho 0.0000 0.0000 0.0000
Ho2 Ho 0.0000 0.1685 0.5000
Ho3 Ho 0.0000 0.3374 0.0000
Mg1 Mg 0.0000 0.5000 0.5000
Hg1 Hg 0.2439 0.5000 0.2435
Hg2 Hg 0.2456 0.3361 0.7461
```

Calculated values
* E_form: -464 meV per atom
* spin magnetization: 0.00 μB per cell
* crystal system: monoclinic
* D(E_F): 0.598 states/eV per atom

---

DFT (GGA-PBE) results for a geometry-optimized HoMgHg6 structure.

CIF file:
```
data_HoMgHg6
_symmetry_space_group_name_H-M 'R -3 m'
_symmetry_Int_Tables_number 166
_symmetry_space_group_name_Hall '-R 3 2"'
_cell_length_a 6.2896
_cell_length_b 6.2896
_cell_length_c 23.0645
_cell_angle_alpha 90.00
_cell_angle_beta 90.00
_cell_angle_gamma 120.00
loop_
_atom_site_label
_atom_site_type_symbol
_atom_site_fract_x
_atom_site_fract_y
_atom_site_fract_z
Ho1 Ho 0.0000 0.0000 0.0000
Mg1 Mg 0.0000 0.0000 0.5000
Hg1 Hg 0.0112 0.5056 0.4352
```

Calculated values
* E_form: 69 meV per atom
* polymorph energy (0 for the lowest one): 266 meV/atom
* spin magnetization: 0.00 μB per cell
* crystal system: trigonal
* D(E_F): 0.505 states/eV per atom

---

DFT (GGA-PBE) results for a geometry-optimized Ho5Mg12Hg3 structure.

CIF file:
```
data_Ho5Mg12Hg3
_symmetry_space_group_name_H-M 'I a -3 d'
_symmetry_Int_Tables_number 230
_symmetry_space_group_name_Hall '-I 4bd 2c 3'
_cell_length_a 17.5263
_cell_length_b 17.5263
_cell_length_c 17.5263
_cell_angle_alpha 90.00
_cell_angle_beta 90.00
_cell_angle_gamma 90.00
loop_
_atom_site_label
_atom_site_type_symbol
_atom_site_fract_x
_atom_site_fract_y
_atom_site_fract_z
Ho1 Ho 0.0000 0.0000 0.0000
Ho2 Ho 0.0000 0.2500 0.3750
Mg1 Mg 0.0088 0.0951 0.6474
Hg1 Hg 0.0000 0.2500 0.1250
```

Calculated values
* E_form: 562 meV per atom
* spin magnetization: 0.00 μB per cell
* crystal system: cubic
* D(E_F): 1.107 states/eV per atom

---

DFT (GGA-PBE) results for a geometry-optimized HoMg2Hg structure.

CIF file:
```
data_HoMg2Hg
_symmetry_space_group_name_H-M 'I -4 m 2'
_symmetry_Int_Tables_number 119
_symmetry_space_group_name_Hall 'I -4 -2'
_cell_length_a 5.0915
_cell_length_b 5.0915
_cell_length_c 7.1405
_cell_angle_alpha 90.00
_cell_angle_beta 90.00
_cell_angle_gamma 90.00
loop_
_atom_site_label
_atom_site_type_symbol
_atom_site_fract_x
_atom_site_fract_y
_atom_site_fract_z
Ho1 Ho 0.0000 0.0000 0.0000
Mg1 Mg 0.0000 0.0000 0.5000
Mg2 Mg 0.0000 0.5000 0.7500
Hg1 Hg 0.0000 0.5000 0.2500
```

Calculated values
* E_form: -259 meV per atom
* polymorph energy (0 for the lowest one): 0 meV/atom
* spin magnetization: 0.00 μB per cell
* crystal system: tetragonal
* D(E_F): 0.469 states/eV per atom

---

DFT (GGA-PBE) results for a geometry-optimized HoMg7Hg4 structure.

CIF file:
```
data_HoMg7Hg4
_symmetry_space_group_name_H-M 'C 1 2/m 1'
_symmetry_Int_Tables_number 12
_cell_length_a 12.6940
_cell_length_b 5.4536
_cell_length_c 10.2757
_cell_angle_alpha 90.00
_cell_angle_beta 125.69
_cell_angle_gamma 90.00
loop_
_symmetry_equiv_pos_as_xyz
'x,y,z'
'-x,-y,-z'
'-x,y,-z'
'x,-y,z'
'x+1/2,y+1/2,z'
'-x+1/2,-y+1/2,-z'
'-x+1/2,y+1/2,-z'
'x+1/2,-y+1/2,z'
loop_
_atom_site_label
_atom_site_type_symbol
_atom_site_fract_x
_atom_site_fract_y
_atom_site_fract_z
Ho1 Ho 0.0000 0.0000 0.0000
Mg1 Mg 0.0000 0.5000 0.0000
Mg2 Mg 0.0641 0.0000 0.3664
Mg3 Mg 0.1671 0.5000 0.5932
Mg4 Mg 0.2189 0.0000 0.8902
Hg1 Hg 0.0728 0.5000 0.7771
Hg2 Hg 0.2085 0.5000 0.3260
```

Calculated values
* E_form: -11 meV per atom
* spin magnetization: 0.00 μB per cell
* crystal system: monoclinic
* D(E_F): 0.490 states/eV per atom